(1)
VASP calculation (PBE with a Hubbard U) on an optimized crystal structure of BaHgMo2O8.

magnetization: 0.00 μB/cell
E_tot: -6.288 eV per atom

a = 7.7994 Å, b = 7.7994 Å, c = 7.0850 Å
α = 90.00°, β = 90.00°, γ = 90.00°
With the nearest neighbours (Å) after each atom.
Space group I-4m2 (No. 119)
One atom of each set of equivalent atoms:
1 Ba 0.0000 0.0000 0.0000 x2  8 O 2.58-2.86
2 Hg 0.0000 0.5000 0.2500 x2  8 O 2.55-2.80
3 Mo 0.0000 0.0000 0.5000 x2  4 O 1.81
4 Mo 0.0000 0.5000 0.7500 x2  4 O 1.79
5 O 0.0000 0.1856 0.3474 x8  1 Mo 1.81
6 O 0.0000 0.3202 0.9074 x8  1 Mo 1.79

=====

(2)
VASP calculation (PBE with a Hubbard U) on an optimized crystal structure of Ba3HgMo2O9.

magnetization: 2.00 μB/cell
E_tot: -6.320 eV per atom

a = 5.9911 Å, b = 5.9911 Å, c = 7.3839 Å
α = 90.00°, β = 90.00°, γ = 120.00°
With the nearest neighbours (Å) after each atom.
Space group P-3m1 (No. 164)
One atom of each set of equivalent atoms:
1 Ba 0.0000 0.0000 0.0000 x1  12 O 2.89-3.00
2 Ba 0.3333 0.6667 0.6767 x2  12 O 2.95-3.20
3 Hg 0.0000 0.0000 0.5000 x1  6 O 2.33
4 Mo 0.3333 0.6667 0.1639 x2  6 O 1.93-2.11
5 O 0.0000 0.5000 0.0000 x3  2 Mo 2.11
6 O 0.1763 0.3526 0.3036 x6  1 Mo 1.93